First-principles (GGA-PBE) data for an optimized crystal structure of TlRuSe2, as listed in Alexandria.

abc: 6.164 6.164 6.164
angles: 150.94 125.44 63.01
Atoms (fractional coordinates):
1 Se 0.433 0.433 0.000
2 Ru 0.250 0.750 0.500
3 Tl 0.750 0.250 0.500
4 Se 0.067 0.067 0.000

Summary:
DOS(E_F), states/eV/cell: 3.0
Space group: Immm
Relative energy among the computed polymorphs, eV/atom: 0.277



First-principles (GGA-PBE) data for an optimized crystal structure of TlRuSe2, as listed in Alexandria.

abc: 4.080 4.125 6.909
angles: 72.59 90.00 90.00
Atoms (fractional coordinates):
1 Se 0.000 0.892 0.841
2 Se 0.500 0.210 0.206
3 Ru 0.500 0.805 0.016
4 Tl 0.000 0.593 0.437

Summary:
DOS(E_F), states/eV/cell: 1.8
Space group: Pm
Relative energy among the computed polymorphs, eV/atom: 0.103



First-principles (GGA-PBE) data for an optimized crystal structure of TlRuSe2, as listed in Alexandria.

abc: 3.861 3.861 7.451
angles: 75.03 75.03 60.01
Atoms (fractional coordinates):
1 Ru 0.250 0.250 0.250
2 Tl 0.750 0.750 0.750
3 Se 0.973 0.973 0.080
4 Se 0.527 0.527 0.420

Summary:
DOS(E_F), states/eV/cell: 3.5
Space group: R-3m
Relative energy among the computed polymorphs, eV/atom: 0.000